Density functional theory data (PBE) for a relaxed structure of HfGaNiHg.

Cell lengths 4.5973, 4.5973, 4.5973 Å; angles 60.00, 60.00, 60.00 degrees
Sites, in units of the cell vectors:
Hf  0.0000  0.0000  0.0000
Ga  0.5000  0.5000  0.5000
Ni  0.7500  0.7500  0.7500
Hg  0.2500  0.2500  0.2500

Values from the calculation:
Space group: No. 216
Volume, Å³/atom: 17.177
VASP energy, eV/atom: -4.771



Density functional theory data (PBE) for a relaxed structure of HoHfGa.

Cell lengths 4.7145, 4.7145, 4.7145 Å; angles 60.00, 60.00, 60.00 degrees
Sites, in units of the cell vectors:
Ho  0.0000  0.0000  0.0000
Hf  0.5000  0.5000  0.5000
Ga  0.7500  0.7500  0.7500

Values from the calculation:
Space group: No. 216
Volume, Å³/atom: 24.698
VASP energy, eV/atom: -5.882



Density functional theory data (PBE) for a relaxed structure of HfInGa2.

Cell lengths 4.8993, 4.8993, 4.8993 Å; angles 60.00, 60.00, 60.00 degrees
Sites, in units of the cell vectors:
Hf  0.0000  0.0000  0.0000
In  0.7500  0.7500  0.7500
Ga  0.2500  0.2500  0.2500
Ga  0.5000  0.5000  0.5000

Values from the calculation:
Space group: No. 216
Volume, Å³/atom: 20.789
VASP energy, eV/atom: -4.499



Density functional theory data (PBE) for a relaxed structure of Li2Hf2InGaPd2.

Cell lengths 4.5177, 4.5177, 6.4095 Å; angles 90.00, 90.00, 90.00 degrees
Sites, in units of the cell vectors:
Li  0.0000  0.5000  0.2388
Li  0.5000  0.0000  0.7612
Hf  0.0000  0.0000  0.0000
Hf  0.5000  0.5000  0.5000
In  0.0000  0.0000  0.5000
Ga  0.5000  0.5000  0.0000
Pd  0.0000  0.5000  0.7595
Pd  0.5000  0.0000  0.2405

Values from the calculation:
Space group: No. 115
Volume, Å³/atom: 16.352
VASP energy, eV/atom: -5.533



Density functional theory data (PBE) for a relaxed structure of Li2Hf2InGaPt2.

Cell lengths 4.5193, 4.5193, 6.4172 Å; angles 90.00, 90.00, 90.00 degrees
Sites, in units of the cell vectors:
Li  0.0000  0.5000  0.2380
Li  0.5000  0.0000  0.7620
Hf  0.0000  0.0000  0.0000
Hf  0.5000  0.5000  0.5000
In  0.0000  0.0000  0.5000
Ga  0.5000  0.5000  0.0000
Pt  0.0000  0.5000  0.7604
Pt  0.5000  0.0000  0.2396

Values from the calculation:
Space group: No. 115
Volume, Å³/atom: 16.383
VASP energy, eV/atom: -5.972



Density functional theory data (PBE) for a relaxed structure of Hf4InGaN2.

Cell lengths 3.2274, 3.2274, 14.3228 Å; angles 90.00, 90.00, 120.00 degrees
Sites, in units of the cell vectors:
Hf  0.0000  0.0000  0.1536
Hf  0.0000  0.0000  0.8464
Hf  0.6667  0.3333  0.3286
Hf  0.6667  0.3333  0.6714
In  0.0000  0.0000  0.5000
Ga  0.6667  0.3333  0.0000
N  0.3333  0.6667  0.2413
N  0.3333  0.6667  0.7587

Values from the calculation:
Space group: No. 187
Volume, Å³/atom: 16.150
VASP energy, eV/atom: -8.864



> Look up the volume of the third one.

20.789 Å³/atom